This record from the Alexandria database describes a relaxed Cu2NiSe crystal. The functional is GGA-PBE.

abc: 8.079 3.594 4.048
angles: 90.00 113.22 90.00
Space group Cm (No. 8)
Symmetry-distinct sites (fractional):
Cu (0.000, 0.000, 0.000) x2
Cu (0.249, 0.000, 0.789) x2
Ni (0.262, 0.500, 0.320) x2
Se (0.489, 0.000, 0.432) x2

Computed properties:
formation energy (no corrections)	0.100	eV per atom
V	108.02	Å³ per cell